DFT (PBE) results for crystalline Ti3AlTc at its relaxed geometry.

Calculated values
Its formation energy is 1.128 eV/atom. The calculation puts the spin magnetization at 0.000 μB/atom. The energy above the most stable polymorph in this dataset comes out at 1.5076 eV per atom.

```
data_Ti3AlTc
_chemical_formula_sum 'Ti3 Al1 Tc1'
_symmetry_space_group_name_H-M 'P m -3 m'
_symmetry_Int_Tables_number 221
_symmetry_space_group_name_Hall '-P 4 2 3'
_cell_length_a 4.577
_cell_length_b 4.577
_cell_length_c 4.577
_cell_angle_alpha 90.00
_cell_angle_beta 90.00
_cell_angle_gamma 90.00
loop_
_atom_site_label
_atom_site_type_symbol
_atom_site_fract_x
_atom_site_fract_y
_atom_site_fract_z
Ti1 Ti 0.000 0.000 0.500
Al1 Al 0.000 0.000 0.000
Tc1 Tc 0.500 0.500 0.500
```

---

DFT (PBE) results for crystalline TiAl2Tc2 at its relaxed geometry.

Calculated values
Its formation energy is -0.232 eV/atom. The calculation puts the spin magnetization at 0.038 μB/atom. The energy above the most stable polymorph in this dataset comes out at 0.1550 eV per atom.

```
data_TiAl2Tc2
_chemical_formula_sum 'Ti2 Al4 Tc4'
_symmetry_space_group_name_H-M 'P 4/m b m'
_symmetry_Int_Tables_number 127
_symmetry_space_group_name_Hall '-P 4 2ab'
_cell_length_a 6.828
_cell_length_b 6.828
_cell_length_c 3.310
_cell_angle_alpha 90.00
_cell_angle_beta 90.00
_cell_angle_gamma 90.00
loop_
_atom_site_label
_atom_site_type_symbol
_atom_site_fract_x
_atom_site_fract_y
_atom_site_fract_z
Ti1 Ti 0.000 0.000 0.000
Al1 Al 0.141 0.359 0.500
Tc1 Tc 0.158 0.658 0.000
```

---

DFT (PBE) results for crystalline Ti6Al10Tc at its relaxed geometry.

Calculated values
Its formation energy is -0.225 eV/atom. The calculation puts the spin magnetization at 0.000 μB/atom.

```
data_Ti6Al10Tc
_chemical_formula_sum 'Ti6 Al10 Tc1'
_symmetry_space_group_name_H-M 'P -3 1 m'
_symmetry_Int_Tables_number 162
_symmetry_space_group_name_Hall '-P 3 2'
_cell_length_a 7.6846
_cell_length_b 7.6846
_cell_length_c 5.4163
_cell_angle_alpha 90.00
_cell_angle_beta 90.00
_cell_angle_gamma 120.00
loop_
_atom_site_label
_atom_site_type_symbol
_atom_site_fract_x
_atom_site_fract_y
_atom_site_fract_z
Ti1 Ti 0.0000 0.3832 0.2969
Al1 Al 0.0000 0.2565 0.8093
Al2 Al 0.3333 0.6667 0.0000
Al3 Al 0.3333 0.6667 0.5000
Tc1 Tc 0.0000 0.0000 0.5000
```